1.
Density functional theory data (PBE) for a relaxed structure of Ti12Ge3N5.

Results
The uncorrected formation energy comes out at -914 meV/atom. The crystal system is cubic. The calculation puts the density of states at the Fermi level at 89.6 states/eV per cell. As for the symmetry: Ia-3d, No. 230. The calculated volume comes out at 1173.2 Å³/cell.

```
80
Lattice="-1.446 -5.188 -10.170 -9.072 -2.172 6.739 0.966 11.356 -1.590" Properties=species:S:1:pos:R:3 pbc="T T T"
Ti -0.403 1.454 -4.553
N 0.000 0.000 0.000
Ti -0.156 10.052 -2.808
N -4.776 1.998 -2.511
Ti -0.807 -0.940 -6.389
Ge -5.971 -0.464 0.000
Ge -2.810 0.473 -5.268
Ti -6.187 -2.813 -3.399
N -4.536 -1.086 3.369
Ti -3.038 0.811 -2.624
Ti -7.947 2.630 -5.025
Ti -0.413 6.764 -2.364
Ti -3.365 6.810 -1.623
N -2.690 -1.069 -2.328
N -5.259 -3.680 -1.716
Ti -7.593 7.692 1.370
Ti -2.737 6.950 -4.529
Ti -3.590 3.739 -2.425
Ti -5.378 5.896 -3.616
Ti -6.398 -1.478 2.461
Ti -9.139 -2.767 -2.657
Ti -8.283 -1.251 5.014
Ti -9.149 2.542 -0.468
Ti -8.569 -0.382 -0.630
Ge -1.604 8.745 -0.978
Ti -1.269 5.248 -10.035
Ti -5.197 -0.753 -5.515
Ge -6.743 3.523 0.247
N -6.211 2.621 -5.879
N -0.952 6.300 -4.164
N -6.863 5.066 -2.693
Ge -1.133 2.690 -2.296
Ti -4.706 -2.530 -7.864
Ti -5.773 4.381 -6.552
Ti -2.203 2.733 -6.564
Ge -2.158 -1.972 -8.454
Ge -7.949 -4.749 -4.043
Ti -1.959 -3.695 -6.391
Ti -4.355 4.750 0.494
N -8.179 -1.778 3.155
N -6.392 -0.990 -4.012
Ti -3.154 5.474 -7.482
N -2.930 2.015 -8.208
Ti -6.815 -2.953 -0.492
Ge -7.394 5.968 3.433
Ti -8.745 4.936 1.368
Ti -2.424 -1.883 -4.063
Ti -6.629 -4.323 -6.331
Ge -8.419 1.306 -2.725
Ti -4.174 -1.899 -1.406
Ti -4.721 1.865 -0.407
Ti -4.831 2.132 -4.614
N -3.160 4.986 -1.009
Ge -3.581 4.460 -5.022
Ti -5.962 0.258 -2.597
N -1.373 5.775 -8.176
Ti -7.349 1.264 1.543
Ti -3.779 -0.385 1.531
Ti -5.979 3.764 2.798
Ge -5.186 7.282 0.278
N -3.341 1.376 0.858
N -4.053 4.592 2.574
Ti -1.573 1.965 -9.587
N 0.483 5.678 -0.795
Ti -1.329 4.647 -0.483
Ti -4.846 6.527 2.843
Ge -4.366 -3.286 -5.299
Ti -6.515 3.185 -2.397
Ti -2.923 8.320 1.310
N -8.600 -2.304 -0.857
N -6.623 1.981 3.186
Ti -0.983 4.379 -4.392
Ti -7.128 5.880 -0.958
Ti -1.605 1.366 0.003
N -0.723 -2.594 -5.085
Ti -9.396 -6.055 -2.213
N -0.240 3.084 -5.880
Ti -8.223 -0.650 -4.538
Ti -3.573 0.232 -7.820
Ti -7.979 2.032 4.566
```

2.
Density functional theory data (PBE) for a relaxed structure of Ti6GeN4.

Results
The uncorrected formation energy comes out at -1446 meV/atom. The crystal system is orthorhombic. The calculation puts the density of states at the Fermi level at 9.5 states/eV per cell. As for the symmetry: Cmcm, No. 63. The calculated volume comes out at 251.8 Å³/cell.

```
22
Lattice="3.102 0.000 0.000 -1.551 5.106 0.000 0.000 0.000 15.898" Properties=species:S:1:pos:R:3 pbc="T T T"
Ti 1.551 2.851 1.262
Ti 1.551 4.719 13.561
N 1.551 0.930 9.879
N 1.551 0.930 13.968
Ti 0.000 2.255 9.211
Ti 1.551 0.000 0.000
N 0.000 1.419 0.619
Ti 1.551 2.851 6.687
N 1.551 3.687 8.569
Ti 0.000 0.387 2.338
Ti 0.000 3.716 3.975
Ge 1.551 1.684 3.975
Ti 1.551 0.000 7.949
N 0.000 1.419 7.330
Ti 0.000 2.255 14.636
Ti 0.000 0.387 5.611
N 0.000 4.175 1.930
Ti 1.551 1.390 11.924
Ti 1.551 4.719 10.287
Ge 0.000 3.422 11.924
N 1.551 3.687 15.279
N 0.000 4.175 6.019
```